(a)
An optimized crystal structure of TaV2GaN. Source: Alexandria via LeMat-Bulk, functional PBE.

The total moment comes out at 0.002 Bohr magnetons per cell.

The structure belongs to space group P4/mmm (No. 123); the cell edges are 3.919, 3.919 and 4.307 Å and the angles 90.00°, 90.00° and 90.00°. Symmetry generates all atoms from Ta at (0.000, 0.000, 0.000), V at (0.000, 0.500, 0.500), Ga at (0.500, 0.500, 0.000) and N at (0.000, 0.000, 0.500).

(b)
An optimized crystal structure of TaV2GaN. Source: Alexandria via LeMat-Bulk, functional PBE.

The total moment comes out at 0.000 Bohr magnetons per cell.

The structure belongs to space group P4/mmm (No. 123); the cell edges are 4.579, 4.579 and 4.933 Å and the angles 90.00°, 90.00° and 90.00°. Symmetry generates all atoms from Ta at (0.000, 0.000, 0.000), V at (0.000, 0.500, 0.000), Ga at (0.000, 0.000, 0.500) and N at (0.500, 0.500, 0.500).

Short version: (a) is the most stable of them.

(a)
An optimized crystal structure of Tb4Ga2N. Source: Alexandria via LeMat-Bulk, functional PBE.

The total moment comes out at 0.000 Bohr magnetons per cell.

The structure belongs to space group I4/mmm (No. 139); the cell edges are 4.701, 4.701 and 15.090 Å and the angles 90.00°, 90.00° and 90.00°. Symmetry generates all atoms from Tb at (0.000, 0.000, 0.170), Tb at (0.000, 0.500, 0.000), Ga at (0.000, 0.000, 0.368) and N at (0.000, 0.000, 0.000).

(b)
An optimized crystal structure of Tb4Ga2N. Source: Alexandria via LeMat-Bulk, functional PBE.

The total moment comes out at 0.000 Bohr magnetons per cell.

The structure belongs to space group C2/m (No. 12); the cell edges are 15.046, 3.623 and 6.011 Å and the angles 90.00°, 103.23° and 90.00°. Symmetry generates all atoms from Tb at (0.069, 0.000, 0.271), Tb at (0.133, 0.500, 0.844), Ga at (0.240, 0.500, 0.340) and N at (0.000, 0.500, 0.000).

Short version: (a) is the most stable of them.

(a)
An optimized crystal structure of GaTc2N. Source: Alexandria via LeMat-Bulk, functional PBE.

The total moment comes out at 0.000 Bohr magnetons per cell.

The structure belongs to space group I-42d (No. 122); the cell edges are 6.541, 6.541 and 4.984 Å and the angles 90.00°, 90.00° and 90.00°. Symmetry generates all atoms from Ga at (0.000, 0.000, 0.000), Tc at (0.147, 0.250, 0.625) and N at (0.000, 0.000, 0.500).

(b)
An optimized crystal structure of GaTc2N. Source: Alexandria via LeMat-Bulk, functional PBE.

The total moment comes out at 0.000 Bohr magnetons per cell.

The structure belongs to space group R-3m (No. 166, hexagonal axes); the cell edges are 3.1617, 3.1617 and 20.8543 Å and the angles 90.00°, 90.00° and 120.00°. Symmetry generates all atoms from Ga at (0.0000, 0.0000, 0.0000), Tc at (0.0000, 0.0000, 0.1193) and N at (0.0000, 0.0000, 0.5000).

Short version: (a) is the most stable of them.

(a)
An optimized crystal structure of GaTcN. Source: Alexandria via LeMat-Bulk, functional PBE.

The total moment comes out at 0.000 Bohr magnetons per cell.

The structure belongs to space group Pm (No. 6); the cell edges are 5.039, 2.900 and 5.314 Å and the angles 90.00°, 97.60° and 90.00°. Symmetry generates all atoms from Ga at (0.000, 0.000, 0.000), Ga at (0.109, 0.500, 0.528), Tc at (0.458, 0.500, 0.962), Tc at (0.686, 0.000, 0.367), N at (0.410, 0.500, 0.333) and N at (0.622, 0.000, 0.758).

(b)
An optimized crystal structure of GaTcN. Source: Alexandria via LeMat-Bulk, functional PBE.

The total moment comes out at 0.000 Bohr magnetons per cell.

The structure belongs to space group P3m1 (No. 156); the cell edges are 2.9145, 2.9145 and 5.1121 Å and the angles 90.00°, 90.00° and 120.00°. Symmetry generates all atoms from Ga at (0.0000, 0.0000, 0.0000), Tc at (0.6667, 0.3333, 0.6060) and N at (0.0000, 0.0000, 0.3747).

(c)
An optimized crystal structure of GaTcN. Source: Alexandria via LeMat-Bulk, functional PBE.

The total moment comes out at 0.000 Bohr magnetons per cell.

The structure belongs to space group C2/m (No. 12); the cell edges are 8.304, 3.108 and 9.252 Å and the angles 90.00°, 110.11° and 90.00°. Symmetry generates all atoms from Ga at (0.178, 0.000, 0.085), Tc at (0.034, 0.000, 0.770) and N at (0.060, 0.500, 0.327).

(d)
An optimized crystal structure of GaTcN. Source: Alexandria via LeMat-Bulk, functional PBE.

The total moment comes out at 0.000 Bohr magnetons per cell.

The structure belongs to space group R3m (No. 160, hexagonal axes); the cell edges are 2.9179, 2.9179 and 15.3457 Å and the angles 90.00°, 90.00° and 120.00°. Symmetry generates all atoms from Ga at (0.0000, 0.0000, 0.0000), Tc at (0.0000, 0.0000, 0.5348) and N at (0.0000, 0.0000, 0.1242).

Short version: (b) is the most stable of them.

(a)
An optimized crystal structure of GaTcN. Source: Alexandria via LeMat-Bulk, functional PBE.

The total moment comes out at 0.000 Bohr magnetons per cell.

The structure belongs to space group Cm (No. 8); the cell edges are 10.853, 2.883 and 5.328 Å and the angles 90.00°, 108.89° and 90.00°. Symmetry generates all atoms from Ga at (0.000, 0.000, 0.000), Ga at (0.183, 0.000, 0.649), Tc at (0.210, 0.500, 0.262), Tc at (0.427, 0.000, 0.346), N at (0.257, 0.000, 0.035) and N at (0.489, 0.500, 0.629).

(b)
An optimized crystal structure of GaTcN. Source: Alexandria via LeMat-Bulk, functional PBE.

The total moment comes out at 0.000 Bohr magnetons per cell.

The structure belongs to space group Cm (No. 8); the cell edges are 5.122, 2.863 and 5.355 Å and the angles 90.00°, 114.66° and 90.00°. Symmetry generates all atoms from Ga at (0.000, 0.000, 0.000), Tc at (0.124, 0.000, 0.578) and N at (0.186, 0.500, 0.322).

Short version: (b) is the most stable of them.

(a)
An optimized crystal structure of GaTcN. Source: Alexandria via LeMat-Bulk, functional PBE.

The total moment comes out at 0.000 Bohr magnetons per cell.

The structure belongs to space group Cm (No. 8); the cell edges are 10.060, 2.849 and 5.498 Å and the angles 90.00°, 97.04° and 90.00°. Symmetry generates all atoms from Ga at (0.000, 0.000, 0.000), Ga at (0.225, 0.000, 0.747), Tc at (0.248, 0.500, 0.355), Tc at (0.462, 0.000, 0.594), N at (0.208, 0.000, 0.096) and N at (0.441, 0.500, 0.325).

(b)
An optimized crystal structure of GaTcN. Source: Alexandria via LeMat-Bulk, functional PBE.

The total moment comes out at 0.000 Bohr magnetons per cell.

The structure belongs to space group Cm (No. 8); the cell edges are 6.067, 5.611 and 5.112 Å and the angles 90.00°, 106.82° and 90.00°. Symmetry generates all atoms from Ga at (0.000, 0.245, 0.000), Tc at (0.321, 0.500, 0.546), Tc at (0.454, 0.000, 0.553) and N at (0.314, 0.246, 0.264).

Short version: (b) is the most stable of them.

(a)
An optimized crystal structure of Ga2TcN2. Source: Alexandria via LeMat-Bulk, functional PBE.

The total moment comes out at 5.345 Bohr magnetons per cell.

The structure belongs to space group I4/mmm (No. 139); the cell edges are 3.882, 3.882 and 8.116 Å and the angles 90.00°, 90.00° and 90.00°. Symmetry generates all atoms from Ga at (0.000, 0.000, 0.159), Tc at (0.000, 0.000, 0.500) and N at (0.000, 0.500, 0.250).

(b)
An optimized crystal structure of Ga2TcN2. Source: Alexandria via LeMat-Bulk, functional PBE.

The total moment comes out at 3.406 Bohr magnetons per cell.

The structure belongs to space group P4/mbm (No. 127); the cell edges are 6.657, 6.657 and 2.938 Å and the angles 90.00°, 90.00° and 90.00°. Symmetry generates all atoms from Ga at (0.123, 0.377, 0.000), Tc at (0.000, 0.000, 0.000) and N at (0.242, 0.742, 0.500).

Short version: (a) is the most stable of them.

(a)
An optimized crystal structure of GaTc3N. Source: Alexandria via LeMat-Bulk, functional PBE.

The total moment comes out at 0.000 Bohr magnetons per cell.

The structure belongs to space group Pm-3m (No. 221); the cell edges are 4.515, 4.515 and 4.515 Å and the angles 90.00°, 90.00° and 90.00°. Symmetry generates all atoms from Ga at (0.000, 0.000, 0.000), Tc at (0.000, 0.000, 0.500) and N at (0.500, 0.500, 0.500).

(b)
An optimized crystal structure of GaTc3N. Source: Alexandria via LeMat-Bulk, functional PBE.

The total moment comes out at 1.352 Bohr magnetons per cell.

The structure belongs to space group Pm-3m (No. 221); the cell edges are 4.052, 4.052 and 4.052 Å and the angles 90.00°, 90.00° and 90.00°. Symmetry generates all atoms from Ga at (0.000, 0.000, 0.000), Tc at (0.000, 0.500, 0.500) and N at (0.500, 0.500, 0.500).

Short version: (b) is the most stable of them.

(a)
An optimized crystal structure of GaTcTeN2. Source: Alexandria via LeMat-Bulk, functional PBE.

The total moment comes out at 0.161 Bohr magnetons per cell.

The structure belongs to space group P4/mmm (No. 123); the cell edges are 3.907, 3.907 and 5.712 Å and the angles 90.00°, 90.00° and 90.00°. Symmetry generates all atoms from Ga at (0.000, 0.000, 0.000), Tc at (0.500, 0.500, 0.500), Te at (0.500, 0.500, 0.000) and N at (0.000, 0.500, 0.500).

(b)
An optimized crystal structure of GaTcTeN2. Source: Alexandria via LeMat-Bulk, functional PBE.

The total moment comes out at 5.838 Bohr magnetons per cell.

The structure belongs to space group P4/mmm (No. 123); the cell edges are 3.900, 3.900 and 6.116 Å and the angles 90.00°, 90.00° and 90.00°. Symmetry generates all atoms from Ga at (0.000, 0.000, 0.000), Tc at (0.500, 0.500, 0.500), Te at (0.000, 0.000, 0.500) and N at (0.000, 0.500, 0.000).

Short version: (a) is the most stable of them.

(a)
An optimized crystal structure of GaTeN2. Source: Alexandria via LeMat-Bulk, functional PBE.

The total moment comes out at 0.000 Bohr magnetons per cell.

The structure belongs to space group Fm-3m (No. 225); the cell edges are 5.868, 5.868 and 5.868 Å and the angles 90.00°, 90.00° and 90.00°. Symmetry generates all atoms from Ga at (0.000, 0.000, 0.000), Te at (0.000, 0.000, 0.500) and N at (0.250, 0.250, 0.250).

(b)
An optimized crystal structure of GaTeN2. Source: Alexandria via LeMat-Bulk, functional PBE.

The total moment comes out at 0.000 Bohr magnetons per cell.

The structure belongs to space group I-42d (No. 122); the cell edges are 5.246, 5.246 and 8.738 Å and the angles 90.00°, 90.00° and 90.00°. Symmetry generates all atoms from Ga at (0.000, 0.000, 0.000), Te at (0.000, 0.000, 0.500) and N at (0.184, 0.250, 0.125).

(c)
An optimized crystal structure of GaTeN2. Source: Alexandria via LeMat-Bulk, functional PBE.

The total moment comes out at 0.000 Bohr magnetons per cell.

The structure belongs to space group R-3m (No. 166, hexagonal axes); the cell edges are 3.2233, 3.2233 and 18.4811 Å and the angles 90.00°, 90.00° and 120.00°. Symmetry generates all atoms from Ga at (0.0000, 0.0000, 0.0000), Te at (0.0000, 0.0000, 0.5000) and N at (0.0000, 0.0000, 0.3880).

(d)
An optimized crystal structure of GaTeN2. Source: Alexandria via LeMat-Bulk, functional PBE.

The total moment comes out at 0.000 Bohr magnetons per cell.

The structure belongs to space group R-3m (No. 166, hexagonal axes); the cell edges are 3.6190, 3.6190 and 17.7666 Å and the angles 90.00°, 90.00° and 120.00°. Symmetry generates all atoms from Ga at (0.0000, 0.0000, 0.0000), Te at (0.0000, 0.0000, 0.5000) and N at (0.0000, 0.0000, 0.1039).

Short version: (c) is the most stable of them.